DFT (PBE) results for a geometry-optimized SmTm8Pb2 structure.

```
SmTm8Pb2
1.0
5.655 -0.351 -0.527
-1.428 8.538 -0.755
-1.428 -3.985 7.588
Tm Sm Pb
8 1 2
direct
0.124 0.322 0.097
0.500 0.782 0.218
0.876 0.903 0.678
0.876 0.678 0.903
0.124 0.097 0.322
0.500 0.218 0.782
0.298 0.591 0.591
0.702 0.409 0.409
0.500 0.000 0.000
0.000 0.305 0.695
0.000 0.695 0.305
```

Energy of formation from the pure elements in meV/atom: -46
D(E_F) in states/eV/cell: 14.540
SG: C2/m (12)
VASP energy in Ha/atom: -0.162